VASP calculation (GGA-PBE) on a relaxed structure of LiNi2Sn2.

Values from the calculation:
* calculated total energy: -4.545 eV/atom
* total moment: 0.00 μB/cell
* space group: No. 59
* energy of formation: -249 meV per atom

Lattice parameters (Å, degrees): 4.3645 4.2941 9.0172 90.02 90.00 90.00
With the nearest neighbours (Å) after each atom.
Element x y z (fractional)
Li (0.7500, 0.2500, 0.6692)  6 Ni 2.61-2.69, 1 Sn 2.87
Li (0.2500, 0.7500, 0.3308)  6 Ni 2.61-2.69, 1 Sn 2.87
Ni (0.2500, 0.2500, 0.5098)  4 Sn 2.55-2.68, 4 Li 2.61-2.69
Ni (0.7500, 0.7498, 0.1691)  6 Sn 2.60-2.70, 2 Li 2.62, 1 Ni 2.90
Ni (0.2500, 0.2502, 0.8309)  6 Sn 2.60-2.70, 2 Li 2.62, 1 Ni 2.90
Ni (0.7500, 0.7500, 0.4902)  4 Sn 2.55-2.68, 4 Li 2.61-2.69
Sn (0.7500, 0.2499, 0.9875)  4 Ni 2.60-2.70, 1 Li 2.87
Sn (0.2500, 0.7501, 0.6620)  6 Ni 2.55-2.68
Sn (0.2500, 0.7501, 0.0125)  4 Ni 2.60-2.70, 1 Li 2.87
Sn (0.7500, 0.2499, 0.3380)  6 Ni 2.55-2.68